Record 1
VASP calculation (PBEsol) on a geometry-optimized LiBi structure.

Properties
* volume: 23.09 A^3/atom
* electronic total energy: -3.532 eV per atom
* calculated formation energy: -405.5 meV per atom
* space group: P4/mmm

Cell: 3.3366 3.3366 4.1478 Å, 90.00 90.00 90.00°
Last column: nearest neighbours and their distance in Å.
Element x y z (fractional)
Bi: 0.0000 0.0000 0.0000  8 Li 3.14, 4 Bi 3.34
Li: 0.5000 0.5000 0.5000  8 Bi 3.14, 4 Li 3.34

Record 2
VASP calculation (PBEsol) on a geometry-optimized Li3Bi structure.

Properties
* volume: 18.47 A^3/atom
* electronic total energy: -3.106 eV per atom
* calculated formation energy: -559.8 meV per atom
* space group: Fm-3m

Cell: 4.7096 4.7096 4.7096 Å, 60.00 60.00 60.00°
Last column: nearest neighbours and their distance in Å.
Element x y z (fractional)
Li: 0.7500 0.7500 0.7500  4 Bi 2.88, 4 Li 2.88
Li: 0.5000 0.5000 0.5000  8 Li 2.88
Li: 0.2500 0.2500 0.2500  4 Bi 2.88, 4 Li 2.88
Bi: 0.0000 0.0000 0.0000  8 Li 2.88

Record 3
VASP calculation (PBEsol) on a geometry-optimized Li3Bi structure.

Properties
* volume: 20.64 A^3/atom
* electronic total energy: -3.087 eV per atom
* calculated formation energy: -540.7 meV per atom
* space group: P6_3/mmc

Cell: 4.7518 4.7518 8.4441 Å, 90.00 90.00 120.00°
Last column: nearest neighbours and their distance in Å.
Element x y z (fractional)
Li: 0.6667 0.3333 0.4123  4 Li 2.74-3.07, 4 Bi 2.85-3.07
Li: 0.0000 0.0000 0.7500  3 Bi 2.74, 6 Li 3.07
Li: 0.6667 0.3333 0.0877  4 Li 2.74-3.07, 4 Bi 2.85-3.07
Li: 0.0000 0.0000 0.2500  3 Bi 2.74, 6 Li 3.07
Li: 0.3333 0.6667 0.9123  4 Li 2.74-3.07, 4 Bi 2.85-3.07
Li: 0.3333 0.6667 0.5877  4 Li 2.74-3.07, 4 Bi 2.85-3.07
Bi: 0.6667 0.3333 0.7500  11 Li 2.74-3.07
Bi: 0.3333 0.6667 0.2500  11 Li 2.74-3.07

Record 4
VASP calculation (PBEsol) on a geometry-optimized Li3MgBi structure.

Properties
* volume: 29.28 A^3/atom
* electronic total energy: -2.427 eV per atom
* calculated formation energy: -46.1 meV per atom
* space group: Pm-3m

Cell: 5.2703 5.2703 5.2703 Å, 90.00 90.00 90.00°
Last column: nearest neighbours and their distance in Å.
Element x y z (fractional)
Li: 0.0000 0.0000 0.5000  2 Bi 2.64
Li: 0.0000 0.5000 0.0000  2 Bi 2.64
Li: 0.5000 0.0000 0.0000  2 Bi 2.64
Mg: 0.5000 0.5000 0.5000  12 Li 3.73
Bi: 0.0000 0.0000 0.0000  6 Li 2.64

Record 5
VASP calculation (PBEsol) on a geometry-optimized LiMgBi3 structure.

Properties
* volume: 33.16 A^3/atom
* electronic total energy: -3.006 eV per atom
* calculated formation energy: 302.3 meV per atom
* space group: Pm-3m

Cell: 5.4935 5.4935 5.4935 Å, 90.00 90.00 90.00°
Last column: nearest neighbours and their distance in Å.
Element x y z (fractional)
Bi: 0.0000 0.5000 0.0000  2 Mg 2.75
Bi: 0.0000 0.0000 0.5000  2 Mg 2.75
Bi: 0.5000 0.0000 0.0000  2 Mg 2.75
Li: 0.5000 0.5000 0.5000  12 Bi 3.88
Mg: 0.0000 0.0000 0.0000  6 Bi 2.75

Record 6
VASP calculation (PBEsol) on a geometry-optimized LiMgBi3 structure.

Properties
* volume: 27.35 A^3/atom
* electronic total energy: -3.154 eV per atom
* calculated formation energy: 154.3 meV per atom
* space group: Pm-3m

Cell: 5.1522 5.1522 5.1522 Å, 90.00 90.00 90.00°
Last column: nearest neighbours and their distance in Å.
Element x y z (fractional)
Li: 0.0000 0.0000 0.0000  6 Bi 2.58
Bi: 0.0000 0.0000 0.5000  2 Li 2.58
Bi: 0.0000 0.5000 0.0000  2 Li 2.58
Bi: 0.5000 0.0000 0.0000  2 Li 2.58
Mg: 0.5000 0.5000 0.5000  12 Bi 3.64

Record 7
VASP calculation (PBEsol) on a geometry-optimized Li3Mg5Bi3Pb structure.

Properties
* volume: 25.95 A^3/atom
* electronic total energy: -2.945 eV per atom
* calculated formation energy: -333.6 meV per atom
* space group: R3m

Cell: 4.7898 4.7898 15.9126 Å, 81.34 81.34 60.00°
Last column: nearest neighbours and their distance in Å.
Element x y z (fractional)
Bi: 0.4383 0.4383 0.6850  3 Li 2.93, 5 Mg 2.94-3.04
Bi: 0.9372 0.9372 0.1884  4 Li 2.90-2.94, 4 Mg 2.93-2.94
Bi: 0.1876 0.1876 0.4372  4 Mg 2.92-2.95, 4 Li 2.92-2.94
Mg: 0.2502 0.2502 0.2493  4 Bi 2.93-2.95
Mg: 0.7492 0.7492 0.7526  1 Pb 2.92, 3 Bi 2.96
Mg: 0.5009 0.5009 0.4973  4 Bi 2.92-2.94
Mg: 0.3738 0.3738 0.8787  3 Pb 2.92, 1 Bi 3.04
Mg: 0.9997 0.9997 0.0010  3 Pb 2.93, 1 Bi 2.94
Li: 0.8754 0.8754 0.3737  4 Bi 2.90-2.94
Li: 0.6254 0.6254 0.1238  1 Pb 2.90, 3 Bi 2.94
Li: 0.1254 0.1254 0.6239  4 Bi 2.92-2.93
Pb: 0.6870 0.6870 0.9389  1 Li 2.90, 7 Mg 2.92-2.93

Record 8
VASP calculation (PBEsol) on a geometry-optimized LiMgZr2Bi structure.

Properties
* volume: 21.53 A^3/atom
* electronic total energy: -4.797 eV per atom
* calculated formation energy: 433.3 meV per atom
* space group: P4/mmm

Cell: 4.7088 4.7818 4.7818 Å, 90.00 90.00 90.00°
Last column: nearest neighbours and their distance in Å.
Element x y z (fractional)
Zr: 0.0000 0.5000 0.0000  2 Li 2.39
Zr: 0.0000 0.0000 0.5000  2 Li 2.39
Mg: 0.5000 0.5000 0.5000  8 Zr 3.36, 4 Bi 3.38
Bi: 0.5000 0.0000 0.0000  2 Li 2.35
Li: 0.0000 0.0000 0.0000  2 Bi 2.35, 4 Zr 2.39

Record 9
VASP calculation (PBEsol) on a geometry-optimized LiMn3Bi structure.

Properties
* volume: 26.62 A^3/atom
* electronic total energy: -5.750 eV per atom
* calculated formation energy: 1357.1 meV per atom
* space group: Pm-3m

Cell: 5.1059 5.1059 5.1059 Å, 90.00 90.00 90.00°
Last column: nearest neighbours and their distance in Å.
Element x y z (fractional)
Li: 0.5000 0.5000 0.5000  12 Mn 3.61
Mn: 0.5000 0.0000 0.0000  2 Bi 2.55
Mn: 0.0000 0.0000 0.5000  2 Bi 2.55
Mn: 0.0000 0.5000 0.0000  2 Bi 2.55
Bi: 0.0000 0.0000 0.0000  6 Mn 2.55

Record 10
VASP calculation (PBEsol) on a geometry-optimized Li2MnTcBi structure.

Properties
* volume: 23.42 A^3/atom
* electronic total energy: -4.473 eV per atom
* calculated formation energy: 1376.4 meV per atom
* space group: P4/mmm

Cell: 4.7986 4.7986 5.0862 Å, 90.00 90.00 90.00°
Last column: nearest neighbours and their distance in Å.
Element x y z (fractional)
Mn: 0.0000 0.0000 0.5000  2 Bi 2.54
Bi: 0.0000 0.0000 0.0000  4 Li 2.40, 2 Mn 2.54
Li: 0.0000 0.5000 0.0000  2 Bi 2.40
Li: 0.5000 0.0000 0.0000  2 Bi 2.40
Tc: 0.5000 0.5000 0.5000  4 Mn 3.39, 8 Li 3.50

Record 11
VASP calculation (PBEsol) on a geometry-optimized Li3BiMo structure.

Properties
* volume: 27.14 A^3/atom
* electronic total energy: -3.458 eV per atom
* calculated formation energy: 933.1 meV per atom
* space group: Pm-3m

Cell: 5.1389 5.1389 5.1389 Å, 90.00 90.00 90.00°
Last column: nearest neighbours and their distance in Å.
Element x y z (fractional)
Li: 0.0000 0.0000 0.5000  2 Bi 2.57
Li: 0.0000 0.5000 0.0000  2 Bi 2.57
Li: 0.5000 0.0000 0.0000  2 Bi 2.57
Bi: 0.0000 0.0000 0.0000  6 Li 2.57
Mo: 0.5000 0.5000 0.5000  12 Li 3.63

Record 12
VASP calculation (PBEsol) on a geometry-optimized RbLiBi2Mo4O16 structure.

Properties
* volume: 13.77 A^3/atom
* electronic total energy: -7.868 eV per atom
* space group: C2/c
* energy relative to the elements, uncorrected: -46.22 eV/f.u.

Cell: 5.2602 6.9478 19.5717 Å, 88.67 86.48 67.76°
Last column: nearest neighbours and their distance in Å.
Element x y z (fractional)
O: 0.1051 0.3076 0.8651  1 Mo 1.79
O: 0.9404 0.5744 0.2850  1 Mo 1.73
O: 0.4853 0.5744 0.2150  1 Mo 1.73
O: 0.7295 0.0373 0.0390  1 Mo 1.81
O: 0.2988 0.1840 0.3300  1 Mo 1.73
O: 0.5873 0.3076 0.6349  1 Mo 1.79
O: 0.2331 0.0373 0.4610  1 Mo 1.81
O: 0.4127 0.6924 0.3651  1 Mo 1.79
O: 0.4151 0.5205 0.9306  1 Mo 1.83
O: 0.0024 0.7271 0.8305  1 Mo 1.74
O: 0.7669 0.9627 0.5390  1 Mo 1.81
O: 0.9356 0.4795 0.4306  1 Mo 1.83
O: 0.5172 0.1840 0.1700  1 Mo 1.73
O: 0.2705 0.9627 0.9610  1 Mo 1.81
O: 0.0644 0.5205 0.5694  1 Mo 1.83
O: 0.7012 0.8160 0.6700  1 Mo 1.73
O: 0.5849 0.4795 0.0694  1 Mo 1.83
O: 0.8241 0.6625 0.9568  1 Mo 1.84
O: 0.7730 0.9107 0.3959  1 Mo 1.76
O: 0.4828 0.8160 0.8300  1 Mo 1.73
O: 0.0596 0.4256 0.7150  1 Mo 1.73
O: 0.5147 0.4256 0.7850  1 Mo 1.73
O: 0.3163 0.9107 0.1041  1 Mo 1.76
O: 0.6837 0.0893 0.8959  1 Mo 1.76
O: 0.4865 0.3375 0.4568  1 Mo 1.84
O: 0.7294 0.2729 0.3305  1 Mo 1.74
O: 0.5135 0.6625 0.5432  1 Mo 1.84
O: 0.1759 0.3375 0.0432  1 Mo 1.84
O: 0.2706 0.7271 0.6695  1 Mo 1.74
O: 0.2270 0.0893 0.6041  1 Mo 1.76
O: 0.9976 0.2729 0.1695  1 Mo 1.74
O: 0.8949 0.6924 0.1349  1 Mo 1.79
Li: 0.6836 0.6328 0.7500  4 O 2.02-2.04
Li: 0.3164 0.3672 0.2500  4 O 2.02-2.04
Mo: 0.5843 0.8748 0.9068  4 O 1.73-1.84
Mo: 0.5409 0.8748 0.5932  4 O 1.73-1.84
Mo: 0.4591 0.1252 0.4068  4 O 1.73-1.84
Mo: 0.4157 0.1252 0.0932  4 O 1.73-1.84
Mo: 0.7373 0.5056 0.1487  4 O 1.73-1.83
Mo: 0.7571 0.5056 0.3513  4 O 1.73-1.83
Mo: 0.2429 0.4944 0.6487  4 O 1.73-1.83
Mo: 0.2627 0.4944 0.8513  4 O 1.73-1.83
Bi: 0.1439 0.7062 0.0346  8 O 2.31-2.52
Bi: 0.8561 0.2938 0.9654  8 O 2.31-2.52
Bi: 0.1499 0.7062 0.4654  8 O 2.31-2.52
Bi: 0.8501 0.2938 0.5346  8 O 2.31-2.52
Rb: 0.9656 0.0688 0.7500  4 O 2.77
Rb: 0.0344 0.9312 0.2500  4 O 2.77

Record 13
VASP calculation (PBEsol) on a geometry-optimized LiSn2BiN structure.

Properties
* volume: 30.16 A^3/atom
* electronic total energy: -3.643 eV per atom
* space group: P4/mmm
* energy relative to the elements, uncorrected: 5.08 eV/f.u.

Cell: 4.2595 5.9505 5.9505 Å, 90.00 90.00 90.00°
Last column: nearest neighbours and their distance in Å.
Element x y z (fractional)
Bi: 0.0000 0.0000 0.0000  2 N 2.13
Li: 0.5000 0.5000 0.5000  8 Sn 3.66
Sn: 0.0000 0.5000 0.0000  2 Bi 2.98
Sn: 0.0000 0.0000 0.5000  2 Bi 2.98
N: 0.5000 0.0000 0.0000  2 Bi 2.13